Computed, not measured: a relaxed Ce8AsS6 crystal at the GGA-PBE level of DFT.

Formation energy without anion corrections in eV per atom: -1.498
Space-group type: No. 147
DFT total energy in eV per formula unit: -99.353
Density of states at the Fermi level in states/eV/atom: 2.982

Structure (CIF):
```
data_Ce8AsS6
_chemical_formula_sum 'Ce8 As1 S6'
_cell_length_a 4.1041
_cell_length_b 10.2614
_cell_length_c 10.2614
_cell_angle_alpha 120.00
_cell_angle_beta 90.00
_cell_angle_gamma 90.00
_space_group_name_H-M_alt 'P 1'
_space_group_IT_number 1
_space_group_name_Hall 'P 1'
loop_
_atom_site_label
_atom_site_type_symbol
_atom_site_fract_x
_atom_site_fract_y
_atom_site_fract_z
Ce1 Ce 0.7446 0.9650 0.2884
Ce2 Ce 0.7446 0.7116 0.6765
Ce3 Ce 0.7446 0.3235 0.0350
Ce4 Ce 0.2554 0.0350 0.7116
Ce5 Ce 0.2554 0.2884 0.3235
Ce6 Ce 0.2554 0.6765 0.9650
Ce7 Ce 0.7485 0.3333 0.6667
Ce8 Ce 0.2515 0.6667 0.3333
As1 As 0.5000 0.0000 0.0000
S1 S 0.7523 0.6479 0.1306
S2 S 0.7523 0.8694 0.5173
S3 S 0.7523 0.4827 0.3521
S4 S 0.2477 0.3521 0.8694
S5 S 0.2477 0.1306 0.4827
S6 S 0.2477 0.5173 0.6479
```